DFT (PBE+U) results for crystalline Nb2TlVO at its relaxed geometry.

Results
Symmetry: P4/mmm (123)
D(E_F): 5.43 states/eV/cell

a b c (Å): 5.0491 5.0491 3.6340
angles (deg): 90.00 90.00 90.00
Sites, in units of the cell vectors:
Nb 0.0000 0.5000 0.0000
Nb 0.5000 0.0000 0.0000
Tl 0.0000 0.0000 0.5000
V 0.5000 0.5000 0.0000
O 0.5000 0.5000 0.5000



DFT (PBE+U) results for crystalline NbTl2VO6 at its relaxed geometry.

Results
Symmetry: I4/mmm (139)
D(E_F): 3.00 states/eV/cell

a b c (Å): 5.6674 5.6674 5.6674
angles (deg): 119.23 119.23 91.34
Sites, in units of the cell vectors:
Nb 0.0000 0.0000 0.0000
Tl 0.2500 0.7500 0.5000
Tl 0.7500 0.2500 0.5000
V 0.5000 0.5000 0.0000
O 0.2494 0.2494 0.4988
O 0.2494 0.7506 0.0000
O 0.2615 0.2615 0.0000
O 0.7385 0.7385 0.0000
O 0.7506 0.2494 0.0000
O 0.7506 0.7506 0.5012



DFT (PBE+U) results for crystalline NbTlVO6 at its relaxed geometry.

Results
Symmetry: P3 (143)
D(E_F): 3.63 states/eV/cell

a b c (Å): 5.2391 5.2391 5.1613
angles (deg): 90.00 90.00 120.00
Sites, in units of the cell vectors:
Nb 0.0000 0.0000 0.0000
Tl 0.3333 0.6667 0.5392
V 0.6667 0.3333 0.0814
O 0.3449 0.0587 0.2545
O 0.3495 0.2999 0.8315
O 0.7001 0.0495 0.8315
O 0.7138 0.6551 0.2545
O 0.9413 0.2862 0.2545
O 0.9505 0.6505 0.8315



DFT (PBE+U) results for crystalline NbTl2W3O12 at its relaxed geometry.

Results
Symmetry: R-3m (166)
D(E_F): 3.12 states/eV/cell

a b c (Å): 7.4359 7.4359 7.4359
angles (deg): 59.85 59.85 59.85
Sites, in units of the cell vectors:
Nb 0.0000 0.0000 0.0000
Tl 0.3873 0.3873 0.3873
Tl 0.6127 0.6127 0.6127
W 0.0000 0.0000 0.5000
W 0.0000 0.5000 0.0000
W 0.5000 0.0000 0.0000
O 0.0618 0.0618 0.6831
O 0.0618 0.6831 0.0618
O 0.0651 0.6881 0.6881
O 0.3119 0.3119 0.9349
O 0.3119 0.9349 0.3119
O 0.3169 0.9382 0.9382
O 0.6831 0.0618 0.0618
O 0.6881 0.0651 0.6881
O 0.6881 0.6881 0.0651
O 0.9349 0.3119 0.3119
O 0.9382 0.3169 0.9382
O 0.9382 0.9382 0.3169



DFT (PBE+U) results for crystalline NbTlWO6 at its relaxed geometry.

Results
Symmetry: Imma (74)
D(E_F): 0.00 states/eV/cell

a b c (Å): 7.4555 7.4555 7.4555
angles (deg): 120.37 119.84 89.82
Sites, in units of the cell vectors:
Nb 0.0000 0.0000 0.0000
Nb 0.5000 0.0000 0.5000
Tl 0.4154 0.6654 0.7500
Tl 0.5846 0.3346 0.2500
W 0.0000 0.0000 0.5000
W 0.0000 0.5000 0.0000
O 0.0580 0.3080 0.7500
O 0.0610 0.3171 0.1225
O 0.0610 0.9385 0.7440
O 0.3054 0.0615 0.6225
O 0.3054 0.6829 0.2440
O 0.3163 0.0663 0.2500
O 0.6837 0.9337 0.7500
O 0.6946 0.3171 0.7560
O 0.6946 0.9385 0.3775
O 0.9390 0.0615 0.2560
O 0.9390 0.6829 0.8775
O 0.9420 0.6920 0.2500



| no. | calculated total energy (eV per atom) | calculated volume (A^3/atom) |
| --- | --- | --- |
| 1 | -6.37 | 18.5 |
| 2 | -6.83 | 13.0 |
| 3 | -7.32 | 13.6 |
| 4 | -7.26 | 16.1 |
| 5 | -7.55 | 16.3 |